1.
This record from Alexandria via LeMat-Bulk describes a geometry-optimized K2PaS4 structure. The functional is PBE-GGA.

POSCAR file:
```
K2PaS4
1.0
4.224 0.000 0.000
0.000 7.874 0.000
0.000 0.000 13.020
K Pa S
4 2 8
direct
0.500 0.932 0.820
0.500 0.068 0.180
0.500 0.432 0.680
0.500 0.568 0.320
0.000 0.000 0.500
0.000 0.500 0.000
0.000 0.628 0.821
0.000 0.372 0.179
0.000 0.128 0.679
0.000 0.872 0.321
0.500 0.797 0.548
0.500 0.203 0.452
0.500 0.703 0.048
0.500 0.297 0.952
```

Results
Symmetry = Pbam, No. 55
Energy relative to the lowest polymorph listed for this composition = 0.00 kJ/mol of atoms
Calculated density = 3.4 g/cm3
Density of states at the Fermi level = 15.10 states/eV per cell
Uncorrected formation energy = -1.28 eV per atom


2.
This record from Alexandria via LeMat-Bulk describes a geometry-optimized Cs5InBr5 structure. The functional is PBE-GGA.

POSCAR file:
```
Cs5InBr5
1.0
7.284 0.000 0.000
-3.642 8.163 -0.088
0.000 -3.167 9.778
Cs In Br
5 1 5
direct
0.671 0.342 0.326
0.665 0.331 0.837
0.000 0.000 0.500
0.335 0.669 0.163
0.329 0.658 0.674
0.000 0.000 0.000
0.843 0.687 0.158
0.838 0.676 0.679
0.500 0.000 0.000
0.162 0.324 0.321
0.157 0.313 0.842
```

Results
Symmetry = C2/m, No. 12
Calculated density = 3.4 g/cm3
Density of states at the Fermi level = 2.75 states/eV per cell
Uncorrected formation energy = -1.38 eV per atom


3.
This record from Alexandria via LeMat-Bulk describes a geometry-optimized HoTmFeCo structure. The functional is PBE-GGA.

POSCAR file:
```
HoTmFeCo
1.0
-3.501 -0.112 -3.067
-2.109 -4.033 -0.978
-4.353 -0.766 1.464
Tm Co Ho Fe
1 1 1 1
direct
0.500 0.500 0.500
0.250 0.250 0.250
0.000 0.000 0.000
0.750 0.750 0.750
```

Results
Symmetry = F-43m, No. 216
Calculated density = 10.4 g/cm3
E_tot = -6.154 eV per atom
Density of states at the Fermi level = 5.64 states/eV per cell


4.
This record from Alexandria via LeMat-Bulk describes a geometry-optimized SrZrBP2 structure. The functional is PBE-GGA.

POSCAR file:
```
SrZrBP2
1.0
-3.242 3.759 -1.369
-0.759 -2.046 -3.822
-3.901 -2.580 2.156
Sr B Zr P
1 1 1 2
direct
0.000 0.000 0.000
0.000 0.500 0.000
0.500 0.500 0.500
0.000 0.000 0.500
0.500 0.000 0.000
```

Results
Symmetry = P4/mmm, No. 123
Calculated density = 3.6 g/cm3
E_tot = -3.994 eV per atom
Density of states at the Fermi level = 4.65 states/eV per cell


5.
This record from Alexandria via LeMat-Bulk describes a geometry-optimized Re5Tc2Ru structure. The functional is PBE-GGA.

POSCAR file:
```
Re5Tc2Ru
1.0
5.292 -0.391 -1.572
-3.027 4.355 -1.580
0.112 0.206 5.222
Re Tc Ru
5 2 1
direct
0.236 0.319 0.500
0.316 0.733 0.000
0.823 0.240 0.000
0.736 0.819 0.500
0.317 0.238 0.000
0.235 0.817 0.496
0.739 0.321 0.504
0.819 0.736 0.000
```

Results
Symmetry = Fmm2, No. 42
Calculated density = 17.3 g/cm3
E_tot = -11.559 eV per atom
Density of states at the Fermi level = 6.47 states/eV per cell


6.
This record from Alexandria via LeMat-Bulk describes a geometry-optimized SrLiZr2 structure. The functional is PBE-GGA.

POSCAR file:
```
SrLiZr2
1.0
5.798 0.000 0.000
0.000 4.316 0.000
0.000 0.000 4.316
Li Sr Zr
1 1 2
direct
0.500 0.500 0.000
0.500 0.000 0.500
0.000 0.000 0.000
0.000 0.500 0.500
```

Results
Symmetry = P4/mmm, No. 123
Energy relative to the lowest polymorph listed for this composition = 27.23 kJ/mol of atoms
Calculated density = 4.3 g/cm3
Density of states at the Fermi level = 6.13 states/eV per cell


7.
This record from Alexandria via LeMat-Bulk describes a geometry-optimized NaCaSmCd structure. The functional is PBE-GGA.

POSCAR file:
```
NaCaSmCd
1.0
-3.021 -4.006 2.337
-0.011 -5.087 -2.181
2.503 -4.158 2.662
Na Ca Sm Cd
1 1 1 1
direct
0.250 0.250 0.250
0.000 0.000 0.000
0.500 0.500 0.500
0.750 0.750 0.750
```

Results
Symmetry = F-43m, No. 216
Calculated density = 4.5 g/cm3
E_tot = -2.292 eV per atom
Density of states at the Fermi level = 2.85 states/eV per cell


8.
This record from Alexandria via LeMat-Bulk describes a geometry-optimized Mg2Cd3Ag7 structure. The functional is PBE-GGA.

POSCAR file:
```
Mg2Cd3Ag7
1.0
-4.700 -1.542 0.942
2.775 -2.528 3.355
-4.809 7.332 4.791
Mg Cd Ag
2 3 7
direct
0.331 0.668 0.336
0.669 0.332 0.664
0.500 0.500 0.000
0.835 0.165 0.330
0.165 0.835 0.670
0.250 0.250 0.500
0.750 0.750 0.500
0.915 0.583 0.167
0.000 0.000 0.000
0.085 0.417 0.833
0.583 0.915 0.833
0.417 0.085 0.167
```

Results
Symmetry = C2/m, No. 12
Energy relative to the lowest polymorph listed for this composition = 0.00 kJ/mol of atoms
Calculated density = 8.4 g/cm3
Density of states at the Fermi level = 3.82 states/eV per cell


9.
This record from Alexandria via LeMat-Bulk describes a geometry-optimized Pm2Ni4GeP3 structure. The functional is PBE-GGA.

POSCAR file:
```
Pm2Ni4GeP3
1.0
-2.734 0.090 2.932
1.151 -3.653 1.186
6.377 3.901 5.828
Pm Ni Ge P
2 4 1 3
direct
0.500 0.000 0.245
0.000 0.500 0.755
0.500 0.500 0.000
0.000 0.000 0.000
0.500 0.000 0.629
0.000 0.500 0.371
0.500 0.500 0.500
0.000 0.000 0.500
0.500 0.000 0.871
0.000 0.500 0.129
```

Results
Symmetry = P-4m2, No. 115
Calculated density = 7.5 g/cm3
E_tot = -6.272 eV per atom
Density of states at the Fermi level = 5.70 states/eV per cell


10.
This record from Alexandria via LeMat-Bulk describes a geometry-optimized Li3Ho2HfSe6 structure. The functional is PBE-GGA.

POSCAR file:
```
Li3Ho2HfSe6
1.0
6.833 0.000 -0.001
-3.415 5.918 -0.001
-1.142 -1.977 6.509
Li Ho Hf Se
3 2 1 6
direct
0.166 0.834 0.500
0.834 0.166 0.500
0.500 0.500 0.500
0.333 0.667 0.000
0.667 0.333 0.000
0.000 0.000 0.000
0.915 0.596 0.747
0.765 0.765 0.250
0.085 0.404 0.253
0.596 0.915 0.747
0.235 0.235 0.750
0.404 0.085 0.253
```

Results
Symmetry = C2/m, No. 12
Calculated density = 6.3 g/cm3
Density of states at the Fermi level = 3.83 states/eV per cell
Uncorrected formation energy = -1.54 eV per atom


11.
This record from Alexandria via LeMat-Bulk describes a geometry-optimized NaErCdPt structure. The functional is PBE-GGA.

POSCAR file:
```
NaErCdPt
1.0
4.899 0.000 0.000
2.450 4.243 0.000
2.450 1.414 4.000
Na Cd Pt Er
1 1 1 1
direct
0.000 0.000 0.000
0.750 0.750 0.750
0.500 0.500 0.500
0.250 0.250 0.250
```

Results
Symmetry = F-43m, No. 216
Calculated density = 9.9 g/cm3
E_tot = -3.656 eV per atom
Density of states at the Fermi level = 3.60 states/eV per cell


12.
This record from Alexandria via LeMat-Bulk describes a geometry-optimized MgMnPb2 structure. The functional is PBE-GGA.

POSCAR file:
```
MgMnPb2
1.0
-1.038 -4.631 0.811
3.263 -0.110 3.544
-2.913 1.129 2.717
Mg Mn Pb
1 1 2
direct
0.500 0.000 0.500
0.000 0.500 0.500
0.000 0.000 0.000
0.500 0.500 0.000
```

Results
Symmetry = P4/mmm, No. 123
Calculated density = 8.5 g/cm3
E_tot = -4.313 eV per atom
Density of states at the Fermi level = 2.19 states/eV per cell